Entry 1:
Crystalline TbSm2Sb at its relaxed geometry. Source: the Alexandria database, functional PBE-GGA.

Lattice parameters (Å, degrees): 4.5967 23.0659 4.5745 90.00 90.00 90.00
With the nearest neighbours (Å) after each atom.
Space group Cmcm (No. 63)
Unique sites:
Tb 0.0000 0.1945 0.2500 [4 per cell]  5 Sb 3.11-3.29
Sm 0.0000 0.0668 0.7500 [4 per cell]  4 Sm 3.24, 2 Sb 3.32
Sm 0.0000 0.4381 0.7500 [4 per cell]  4 Sm 3.24, 2 Sb 3.39
Sb 0.0000 0.3293 0.2500 [4 per cell]  5 Tb 3.11-3.29, 4 Sm 3.32-3.39

Computed properties:
E	-5.10	eV/atom
energy above the lowest structure with this stoichiometry	0	meV/atom
crystal system	orthorhombic
ΔE_f (raw)	-0.548	eV/atom

=====

Entry 2:
Crystalline CaPr5Tl4 at its relaxed geometry. Source: the Alexandria database, functional PBE-GGA.

Lattice parameters (Å, degrees): 3.7595 3.7595 22.7959 90.00 90.00 90.00
With the nearest neighbours (Å) after each atom.
Space group P4/mmm (No. 123)
Unique sites:
Ca 0.0000 0.0000 0.0000 [1 per cell]  4 Ca 3.76, 8 Pr 3.91
Pr 0.5000 0.5000 0.1255 [2 per cell]  4 Tl 3.37, 4 Pr 3.76
Pr 0.5000 0.5000 0.3116 [2 per cell]  8 Tl 3.42-3.43, 4 Pr 3.76
Pr 0.5000 0.5000 0.5000 [1 per cell]  8 Tl 3.42, 4 Pr 3.76
Tl 0.0000 0.0000 0.2162 [2 per cell]  8 Pr 3.37-3.43, 4 Tl 3.76
Tl 0.0000 0.0000 0.4058 [2 per cell]  8 Pr 3.42, 4 Tl 3.76

Computed properties:
E	-3.83	eV/atom
formation energy from the elements	-0.289	eV/atom
energy above the lowest structure with this stoichiometry	0	meV/atom
crystal system	tetragonal

=====

Entry 3:
Crystalline Rb3Pr2HoTe6 at its relaxed geometry. Source: the Alexandria database, functional PBE-GGA.

Lattice parameters (Å, degrees): 8.0110 13.8761 8.9772 90.00 107.34 90.00
With the nearest neighbours (Å) after each atom.
Space group C2/m (No. 12)
Unique sites:
Rb 0.0000 0.0000 0.0000 [2 per cell]  6 Te 3.66-3.74
Rb 0.0000 0.3306 0.0000 [4 per cell]  6 Te 3.66-3.72
Pr 0.0000 0.1663 0.5000 [4 per cell]  6 Te 3.22
Ho 0.0000 0.5000 0.5000 [2 per cell]  6 Te 3.12-3.13
Te 0.2294 0.3382 0.7032 [8 per cell]  1 Ho 3.12, 2 Pr 3.22
Te 0.2449 0.0000 0.7042 [4 per cell]  1 Ho 3.13, 2 Pr 3.22

Computed properties:
E	-4.39	eV/atom
crystal system	monoclinic
ΔE_f (raw)	-1.397	eV/atom